No. 1
VASP calculation (PBE) on an optimized crystal structure of CuSb2Se.

a = 4.044 Å, b = 5.611 Å, c = 8.120 Å
α = 90.00°, β = 90.00°, γ = 90.00°
Atoms (fractional coordinates):
Cu 0.000 0.000 0.000
Cu 0.000 0.500 0.500
Sb 0.000 0.000 0.507
Sb 0.000 0.500 0.007
Sb 0.500 0.000 0.238
Sb 0.500 0.500 0.738
Se 0.500 0.000 0.804
Se 0.500 0.500 0.304

- D(E_F) (states/eV/atom) = 0.621
- E_form (uncorrected) (eV per atom) = 0.03
- size of the total moment (μB per atom) = 0.000

***

No. 2
VASP calculation (PBE) on an optimized crystal structure of Cu2SbSe.

a = 2.930 Å, b = 3.682 Å, c = 7.312 Å
α = 90.00°, β = 90.00°, γ = 90.00°
Atoms (fractional coordinates):
Cu 0.000 0.000 0.000
Cu 0.500 0.500 0.170
Sb 0.000 0.000 0.381
Se 0.500 0.500 0.829

- D(E_F) (states/eV/atom) = 0.326
- E_form (uncorrected) (eV per atom) = 0.05
- size of the total moment (μB per atom) = 0.000

***

No. 3
VASP calculation (PBE) on an optimized crystal structure of Cu2SbSe4.

a = 7.628 Å, b = 7.628 Å, c = 10.861 Å
α = 90.00°, β = 90.00°, γ = 90.00°
Atoms (fractional coordinates):
Cu 0.000 0.248 0.000
Cu 0.000 0.752 0.500
Cu 0.242 0.242 0.375
Cu 0.242 0.758 0.125
Cu 0.248 0.000 0.750
Cu 0.752 0.000 0.250
Cu 0.758 0.242 0.625
Cu 0.758 0.758 0.875
Sb 0.238 0.500 0.750
Sb 0.500 0.238 0.000
Sb 0.500 0.762 0.500
Sb 0.762 0.500 0.250
Se 0.003 0.230 0.763
Se 0.003 0.770 0.737
Se 0.228 0.489 0.009
Se 0.228 0.511 0.491
Se 0.230 0.003 0.987
Se 0.230 0.997 0.513
Se 0.489 0.228 0.741
Se 0.489 0.772 0.759
Se 0.511 0.228 0.259
Se 0.511 0.772 0.241
Se 0.770 0.003 0.013
Se 0.770 0.997 0.487
Se 0.772 0.489 0.991
Se 0.772 0.511 0.509
Se 0.997 0.230 0.237
Se 0.997 0.770 0.263

- D(E_F) (states/eV/atom) = 0.707
- E_form (uncorrected) (eV per atom) = -0.11
- size of the total moment (μB per atom) = 0.000
- E above lowest polymorph (meV per atom) = 0

***

No. 4
VASP calculation (PBE) on an optimized crystal structure of CuSb2Se.

a = 6.954 Å, b = 4.075 Å, c = 6.987 Å
α = 90.00°, β = 111.31°, γ = 90.00°
Atoms (fractional coordinates):
Cu 0.000 0.000 0.000
Cu 0.500 0.500 0.000
Sb 0.238 0.500 0.202
Sb 0.262 0.000 0.798
Sb 0.738 0.000 0.202
Sb 0.762 0.500 0.798
Se 0.000 0.500 0.500
Se 0.500 0.000 0.500

- D(E_F) (states/eV/atom) = 0.474
- E_form (uncorrected) (eV per atom) = 0.04
- size of the total moment (μB per atom) = 0.000

***

No. 5
VASP calculation (PBE) on an optimized crystal structure of Cu2Sb2Se5.

a = 9.418 Å, b = 9.418 Å, c = 6.545 Å
α = 98.60°, β = 98.60°, γ = 24.52°
Atoms (fractional coordinates):
Cu 0.123 0.123 0.390
Cu 0.877 0.877 0.610
Sb 0.429 0.429 0.169
Sb 0.571 0.571 0.831
Se 0.000 0.000 0.500
Se 0.151 0.151 0.045
Se 0.335 0.335 0.434
Se 0.665 0.665 0.566
Se 0.849 0.849 0.955

- D(E_F) (states/eV/atom) = 0.636
- E_form (uncorrected) (eV per atom) = -0.15
- size of the total moment (μB per atom) = 0.000

***

No. 6
VASP calculation (PBE) on an optimized crystal structure of Cu2SbSe.

a = 6.687 Å, b = 6.687 Å, c = 6.687 Å
α = 90.00°, β = 90.00°, γ = 90.00°
Atoms (fractional coordinates):
Cu 0.000 0.000 0.000
Cu 0.000 0.500 0.500
Cu 0.250 0.250 0.250
Cu 0.250 0.750 0.750
Cu 0.500 0.000 0.500
Cu 0.500 0.500 0.000
Cu 0.750 0.250 0.750
Cu 0.750 0.750 0.250
Sb 0.000 0.000 0.500
Sb 0.000 0.500 0.000
Sb 0.500 0.000 0.000
Sb 0.500 0.500 0.500
Se 0.250 0.250 0.750
Se 0.250 0.750 0.250
Se 0.750 0.250 0.250
Se 0.750 0.750 0.750

- D(E_F) (states/eV/atom) = 0.856
- E_form (uncorrected) (eV per atom) = 0.49
- size of the total moment (μB per atom) = 0.000